No. 1
Compound: La4SmAg
Source: Alexandria via LeMat-Bulk
Functional: PBE
Structure: optimized geometry

Calculated values
SG: Cmc2_1, No. 36
Distance to the lowest polymorph of the same formula: 79 meV per atom

Unit cell a=10.9207 b=10.9207 c=6.5713 alpha=90.00 beta=90.00 gamma=149.60
Last column: nearest neighbours and their distance in Å.
Fractional coordinates of all 12 atoms:
La1 0.0380 0.9620 0.5000  2 Ag 3.16-3.17, 1 La 3.30
La2 0.1846 0.8154 0.3242  1 Ag 3.08, 4 La 3.09-3.30
La3 0.2541 0.7459 0.7384  3 La 3.09-3.19, 1 Ag 3.26
La4 0.4392 0.5608 0.6731  2 Ag 3.47, 2 Sm 3.54-3.69, 4 La 3.61-3.72
La5 0.5608 0.4392 0.1731  2 Ag 3.47, 2 Sm 3.54-3.69, 4 La 3.61-3.72
La6 0.7459 0.2541 0.2384  3 La 3.09-3.19, 1 Ag 3.26
La7 0.8154 0.1846 0.8242  1 Ag 3.08, 4 La 3.09-3.30
La8 0.9620 0.0380 0.0000  2 Ag 3.16-3.17, 1 La 3.30
Sm1 0.3678 0.6322 0.1853  2 Ag 3.29, 1 La 3.54
Sm2 0.6322 0.3678 0.6853  2 Ag 3.29, 1 La 3.54
Ag1 0.1105 0.8895 0.9208  4 La 3.08-3.26, 2 Sm 3.29
Ag2 0.8895 0.1105 0.4208  4 La 3.08-3.26, 2 Sm 3.29

---

No. 2
Compound: NdAl4Ni2
Source: Alexandria via LeMat-Bulk
Functional: PBE
Structure: optimized geometry

Calculated values
Energy: -69.767 eV/cell
SG: P4_2/mnm, No. 136

Unit cell a=7.5980 b=7.5980 c=4.0188 alpha=90.00 beta=90.00 gamma=90.00
Last column: nearest neighbours and their distance in Å.
Fractional coordinates of all 14 atoms:
Nd1 0.0000 0.0000 0.0000  6 Ni 2.98-3.12, 8 Al 3.30
Nd2 0.5000 0.5000 0.5000  6 Ni 2.98-3.12, 8 Al 3.30
Al1 0.0838 0.3341 0.5000  3 Ni 2.48-2.53, 1 Al 2.69
Al2 0.1659 0.5838 0.0000  3 Ni 2.48-2.53, 1 Al 2.69
Al3 0.3341 0.0838 0.5000  3 Ni 2.48-2.53, 1 Al 2.69
Al4 0.4162 0.8341 0.0000  3 Ni 2.48-2.53, 1 Al 2.69
Al5 0.5838 0.1659 0.0000  3 Ni 2.48-2.53, 1 Al 2.69
Al6 0.6659 0.9162 0.5000  3 Ni 2.48-2.53, 1 Al 2.69
Al7 0.8341 0.4162 0.0000  3 Ni 2.48-2.53, 1 Al 2.69
Al8 0.9162 0.6659 0.5000  3 Ni 2.48-2.53, 1 Al 2.69
Ni1 0.2222 0.7778 0.5000  6 Al 2.48-2.53
Ni2 0.2778 0.2778 0.0000  6 Al 2.48-2.53
Ni3 0.7222 0.7222 0.0000  6 Al 2.48-2.53
Ni4 0.7778 0.2222 0.5000  6 Al 2.48-2.53

---

No. 3
Compound: CsNdZnO3
Source: Alexandria via LeMat-Bulk
Functional: PBE
Structure: optimized geometry

Calculated values
SG: P2_1/m, No. 11
Formation energy (no corrections): -2131 meV/atom

Unit cell a=8.4269 b=3.7031 c=8.4928 alpha=90.00 beta=107.36 gamma=90.00
Last column: nearest neighbours and their distance in Å.
Fractional coordinates of all 12 atoms:
Cs1 0.2008 0.2500 0.2205  3 O 3.04-3.17
Cs2 0.7992 0.7500 0.7795  3 O 3.04-3.17
Nd1 0.3455 0.7500 0.8503  5 O 2.31-2.44
Nd2 0.6545 0.2500 0.1497  5 O 2.31-2.44
Zn1 0.0758 0.2500 0.6153  4 O 1.92-2.10
Zn2 0.9242 0.7500 0.3847  4 O 1.92-2.10
O1 0.1525 0.7500 0.5466  3 Zn 2.00-2.10
O2 0.1582 0.2500 0.8521  1 Zn 1.92
O3 0.4683 0.7500 0.1330  3 Nd 2.31-2.40
O4 0.5317 0.2500 0.8670  3 Nd 2.31-2.40
O5 0.8418 0.7500 0.1479  1 Zn 1.92
O6 0.8475 0.2500 0.4534  3 Zn 2.00-2.10

---

No. 4
Compound: USnAu
Source: Alexandria via LeMat-Bulk
Functional: PBE
Structure: optimized geometry

Calculated values
Energy: -37.896 eV/cell
SG: P4/nmm, No. 129

Unit cell a=4.0711 b=4.0711 c=7.9542 alpha=90.00 beta=90.00 gamma=90.00
Last column: nearest neighbours and their distance in Å.
Fractional coordinates of all 6 atoms:
U1 0.2500 0.7500 0.0000  4 U 2.88, 4 Au 3.17
U2 0.7500 0.2500 0.0000  4 U 2.88, 4 Au 3.17
Sn1 0.2500 0.2500 0.3388  5 Au 2.83-2.89
Sn2 0.7500 0.7500 0.6612  5 Au 2.83-2.89
Au1 0.2500 0.2500 0.6940  5 Sn 2.83-2.89
Au2 0.7500 0.7500 0.3060  5 Sn 2.83-2.89

---

No. 5
Compound: MnIn2Fe
Source: Alexandria via LeMat-Bulk
Functional: PBE
Structure: optimized geometry

Calculated values
Energy: -43.388 eV/cell
SG: C2/m, No. 12

Unit cell a=9.1444 b=3.0502 c=5.2459 alpha=90.00 beta=101.84 gamma=90.00
Last column: nearest neighbours and their distance in Å.
Fractional coordinates of all 8 atoms:
Mn1 0.0000 0.0000 0.0000  6 In 2.85-2.87, 4 Fe 3.03, 2 Mn 3.05
Mn2 0.5000 0.5000 0.0000  6 In 2.85-2.87, 4 Fe 3.03, 2 Mn 3.05
In1 0.2463 0.0000 0.7444  3 Fe 2.80-2.87, 3 Mn 2.85-2.87, 6 In 3.00-3.07
In2 0.2537 0.5000 0.2556  3 Fe 2.80-2.87, 3 Mn 2.85-2.87, 6 In 3.00-3.07
In3 0.7463 0.5000 0.7444  3 Fe 2.80-2.87, 3 Mn 2.85-2.87, 6 In 3.00-3.07
In4 0.7537 0.0000 0.2556  3 Fe 2.80-2.87, 3 Mn 2.85-2.87, 6 In 3.00-3.07
Fe1 0.0000 0.5000 0.5000  6 In 2.80-2.87, 4 Mn 3.03, 2 Fe 3.05
Fe2 0.5000 0.0000 0.5000  6 In 2.80-2.87, 4 Mn 3.03, 2 Fe 3.05

---

No. 6
Compound: PrAlTe3
Source: Alexandria via LeMat-Bulk
Functional: PBE
Structure: optimized geometry

Calculated values
SG: Pnma, No. 62
Distance to the lowest polymorph of the same formula: 0 meV per atom
Formation energy (no corrections): -875 meV/atom

Unit cell a=8.0198 b=10.3877 c=7.2603 alpha=90.00 beta=90.00 gamma=90.00
Last column: nearest neighbours and their distance in Å.
Fractional coordinates of all 20 atoms:
Pr1 0.1209 0.2500 0.0448  8 Te 3.19-3.57
Pr2 0.3791 0.7500 0.5448  8 Te 3.19-3.57
Pr3 0.6209 0.2500 0.4552  8 Te 3.19-3.57
Pr4 0.8791 0.7500 0.9552  8 Te 3.19-3.57
Al1 0.0000 0.0000 0.5000  6 Te 2.76-2.97
Al2 0.0000 0.5000 0.5000  6 Te 2.76-2.97
Al3 0.5000 0.0000 0.0000  6 Te 2.76-2.97
Al4 0.5000 0.5000 0.0000  6 Te 2.76-2.97
Te1 0.0132 0.7500 0.3710  2 Al 2.76
Te2 0.1735 0.5540 0.8241  2 Al 2.79-2.97
Te3 0.1735 0.9460 0.8241  2 Al 2.79-2.97
Te4 0.3265 0.0540 0.3241  2 Al 2.79-2.97
Te5 0.3265 0.4460 0.3241  2 Al 2.79-2.97
Te6 0.4868 0.2500 0.8710  2 Al 2.76
Te7 0.5132 0.7500 0.1290  2 Al 2.76
Te8 0.6735 0.5540 0.6759  2 Al 2.79-2.97
Te9 0.6735 0.9460 0.6759  2 Al 2.79-2.97
Te10 0.8265 0.0540 0.1759  2 Al 2.79-2.97
Te11 0.8265 0.4460 0.1759  2 Al 2.79-2.97
Te12 0.9868 0.2500 0.6290  2 Al 2.76